1.
# CdPI2N | Alexandria via LeMat-Bulk | GGA-PBE | optimized geometry
data_CdPI2N
_chemical_formula_sum 'Cd1 P1 I2 N1'
_space_group_name_H-M_alt 'P 4/m m m'
_space_group_IT_number 123
_space_group_name_Hall '-P 4 2'
_cell_length_a 6.2910
_cell_length_b 6.2910
_cell_length_c 3.3500
_cell_angle_alpha 90.00
_cell_angle_beta 90.00
_cell_angle_gamma 90.00
loop_
_atom_site_label
_atom_site_type_symbol
_atom_site_fract_x
_atom_site_fract_y
_atom_site_fract_z
Cd1 Cd 0.0000 0.0000 0.0000
P1 P 0.5000 0.5000 0.5000
I1 I 0.0000 0.5000 0.5000
N1 N 0.5000 0.5000 0.0000
# E above lowest polymorph in meV per atom: 0
# E in eV for the cell shown: -15.45
# Formation energy without anion corrections in eV/atom: 0.46

***

2.
# La3Pb2 | Alexandria via LeMat-Bulk | GGA-PBE | optimized geometry
data_La3Pb2
_chemical_formula_sum 'La3 Pb2'
_space_group_name_H-M_alt 'P -3 m 1'
_space_group_IT_number 164
_space_group_name_Hall '-P 3 2"'
_cell_length_a 5.6015
_cell_length_b 5.6015
_cell_length_c 6.7944
_cell_angle_alpha 90.00
_cell_angle_beta 90.00
_cell_angle_gamma 120.00
loop_
_atom_site_label
_atom_site_type_symbol
_atom_site_fract_x
_atom_site_fract_y
_atom_site_fract_z
La1 La 0.0000 0.0000 0.0000
La2 La 0.3333 0.6667 0.3013
Pb1 Pb 0.3333 0.6667 0.7916
# E in eV for the cell shown: -24.53
# DFT formation energy in meV/atom: -466

***

3.
# CaMoPd | Alexandria via LeMat-Bulk | GGA-PBE | optimized geometry
data_CaMoPd
_chemical_formula_sum 'Ca2 Mo2 Pd2'
_space_group_name_H-M_alt 'P 1'
_space_group_IT_number 1
_space_group_name_Hall 'P 1'
_cell_length_a 3.1834
_cell_length_b 5.6545
_cell_length_c 7.7177
_cell_angle_alpha 70.52
_cell_angle_beta 89.94
_cell_angle_gamma 73.72
loop_
_atom_site_label
_atom_site_type_symbol
_atom_site_fract_x
_atom_site_fract_y
_atom_site_fract_z
Ca1 Ca 0.0000 0.0000 0.0000
Ca2 Ca 0.3161 0.3626 0.2655
Mo1 Mo 0.2616 0.4704 0.6435
Mo2 Mo 0.6879 0.6173 0.8156
Pd1 Pd 0.6011 0.7944 0.3647
Pd2 Pd 0.9743 0.0453 0.6144
# E above lowest polymorph in meV per atom: 161
# E in eV for the cell shown: -35.68
# DFT formation energy in meV/atom: 61

***

4.
# Cd2AgPd | Alexandria via LeMat-Bulk | GGA-PBE | optimized geometry
data_Cd2AgPd
_chemical_formula_sum 'Cd4 Ag2 Pd2'
_space_group_name_H-M_alt 'I m m m'
_space_group_IT_number 71
_space_group_name_Hall '-I 2 2'
_cell_length_a 2.9345
_cell_length_b 4.9652
_cell_length_c 11.0866
_cell_angle_alpha 90.00
_cell_angle_beta 90.00
_cell_angle_gamma 90.00
loop_
_atom_site_label
_atom_site_type_symbol
_atom_site_fract_x
_atom_site_fract_y
_atom_site_fract_z
Cd1 Cd 0.0000 0.0000 0.2433
Ag1 Ag 0.0000 0.0000 0.5000
Pd1 Pd 0.0000 0.0000 0.0000
# E in eV for the cell shown: -19.07
# DFT formation energy in meV/atom: 84

***

5.
# Tl2PbBr | Alexandria via LeMat-Bulk | GGA-PBE | optimized geometry
data_Tl2PbBr
_chemical_formula_sum 'Tl6 Pb3 Br3'
_space_group_name_H-M_alt 'R -3 m'
_space_group_IT_number 166
_space_group_name_Hall '-R 3 2"'
_cell_length_a 3.8649
_cell_length_b 3.8649
_cell_length_c 30.3782
_cell_angle_alpha 90.00
_cell_angle_beta 90.00
_cell_angle_gamma 120.00
loop_
_atom_site_label
_atom_site_type_symbol
_atom_site_fract_x
_atom_site_fract_y
_atom_site_fract_z
Tl1 Tl 0.0000 0.0000 0.2435
Pb1 Pb 0.0000 0.0000 0.0000
Br1 Br 0.0000 0.0000 0.5000
# E above lowest polymorph in meV per atom: 76
# E in eV for the cell shown: -32.73
# Formation energy without anion corrections in eV/atom: -0.20

***

6.
# LaFe2Sb | Alexandria via LeMat-Bulk | GGA-PBE | optimized geometry
data_LaFe2Sb
_chemical_formula_sum 'La1 Fe2 Sb1'
_space_group_name_H-M_alt 'P 4 m m'
_space_group_IT_number 99
_space_group_name_Hall 'P 4 -2'
_cell_length_a 3.2950
_cell_length_b 3.2950
_cell_length_c 7.3376
_cell_angle_alpha 90.00
_cell_angle_beta 90.00
_cell_angle_gamma 90.00
loop_
_atom_site_label
_atom_site_type_symbol
_atom_site_fract_x
_atom_site_fract_y
_atom_site_fract_z
La1 La 0.0000 0.0000 0.0000
Fe1 Fe 0.0000 0.0000 0.5651
Fe2 Fe 0.5000 0.5000 0.7162
Sb1 Sb 0.5000 0.5000 0.3509
# E in eV for the cell shown: -25.93
# Formation energy without anion corrections in eV/atom: 0.01

***

7.
# La2CePaRh2 | Alexandria via LeMat-Bulk | GGA-PBE | optimized geometry
data_La2CePaRh2
_chemical_formula_sum 'La8 Ce4 Pa4 Rh8'
_space_group_name_H-M_alt 'I b a m'
_space_group_IT_number 72
_space_group_name_Hall '-I 2 2c'
_cell_length_a 7.1978
_cell_length_b 12.9798
_cell_length_c 7.1559
_cell_angle_alpha 90.00
_cell_angle_beta 90.00
_cell_angle_gamma 90.00
loop_
_atom_site_label
_atom_site_type_symbol
_atom_site_fract_x
_atom_site_fract_y
_atom_site_fract_z
La1 La 0.2347 0.1887 0.0000
Ce1 Ce 0.0000 0.5000 0.2500
Pa1 Pa 0.0000 0.0000 0.2500
Rh1 Rh 0.2317 0.0843 0.5000
# E in eV for the cell shown: -171.66
# DFT formation energy in meV/atom: -488

***

8.
# Y2Si2Pd5 | Alexandria via LeMat-Bulk | GGA-PBE | optimized geometry
data_Y2Si2Pd5
_chemical_formula_sum 'Y2 Si2 Pd5'
_space_group_name_H-M_alt 'P 4/m m m'
_space_group_IT_number 123
_space_group_name_Hall '-P 4 2'
_cell_length_a 4.1721
_cell_length_b 4.1721
_cell_length_c 9.0168
_cell_angle_alpha 90.00
_cell_angle_beta 90.00
_cell_angle_gamma 90.00
loop_
_atom_site_label
_atom_site_type_symbol
_atom_site_fract_x
_atom_site_fract_y
_atom_site_fract_z
Y1 Y 0.0000 0.0000 0.0000
Y2 Y 0.0000 0.0000 0.5000
Si1 Si 0.5000 0.5000 0.1307
Pd1 Pd 0.0000 0.5000 0.2677
Pd2 Pd 0.5000 0.5000 0.5000
# E in eV for the cell shown: -58.21
# Formation energy without anion corrections in eV/atom: -0.94

***

9.
# Ca6Mg3Tl | Alexandria via LeMat-Bulk | GGA-PBE | optimized geometry
data_Ca6Mg3Tl
_chemical_formula_sum 'Ca12 Mg6 Tl2'
_space_group_name_H-M_alt 'P 1 21/m 1'
_space_group_IT_number 11
_space_group_name_Hall '-P 2yb'
_cell_length_a 9.7249
_cell_length_b 5.7227
_cell_length_c 12.3614
_cell_angle_alpha 90.00
_cell_angle_beta 108.52
_cell_angle_gamma 90.00
loop_
_atom_site_label
_atom_site_type_symbol
_atom_site_fract_x
_atom_site_fract_y
_atom_site_fract_z
Ca1 Ca 0.0242 0.2500 0.4116
Ca2 Ca 0.1453 0.7500 0.1683
Ca3 Ca 0.2668 0.2500 0.9984
Ca4 Ca 0.3512 0.2500 0.3179
Ca5 Ca 0.3520 0.7500 0.8165
Ca6 Ca 0.4087 0.2500 0.6229
Mg1 Mg 0.0436 0.7500 0.8793
Mg2 Mg 0.1160 0.2500 0.7149
Mg3 Mg 0.2647 0.7500 0.4726
Tl1 Tl 0.4408 0.7500 0.1088
# E in eV for the cell shown: -40.96
# DFT formation energy in meV/atom: -132

***

10.
# Mg2ZnF | Alexandria via LeMat-Bulk | GGA-PBE | optimized geometry
data_Mg2ZnF
_chemical_formula_sum 'Mg8 Zn4 F4'
_space_group_name_H-M_alt 'I -4 2 d'
_space_group_IT_number 122
_space_group_name_Hall 'I -4 2bw'
_cell_length_a 6.4303
_cell_length_b 6.4303
_cell_length_c 6.8520
_cell_angle_alpha 90.00
_cell_angle_beta 90.00
_cell_angle_gamma 90.00
loop_
_atom_site_label
_atom_site_type_symbol
_atom_site_fract_x
_atom_site_fract_y
_atom_site_fract_z
Mg1 Mg 0.1738 0.2500 0.1250
Zn1 Zn 0.0000 0.0000 0.5000
F1 F 0.0000 0.0000 0.0000
# E above lowest polymorph in meV per atom: 0
# E in eV for the cell shown: -41.37
# Formation energy without anion corrections in eV/atom: -1.00

***

11.
# Ba2Li5Hg12 | Alexandria via LeMat-Bulk | GGA-PBE | optimized geometry
data_Ba2Li5Hg12
_chemical_formula_sum 'Ba6 Li15 Hg36'
_space_group_name_H-M_alt 'R -3 m'
_space_group_IT_number 166
_space_group_name_Hall '-R 3 2"'
_cell_length_a 10.2075
_cell_length_b 10.2075
_cell_length_c 15.5240
_cell_angle_alpha 90.00
_cell_angle_beta 90.00
_cell_angle_gamma 120.00
loop_
_atom_site_label
_atom_site_type_symbol
_atom_site_fract_x
_atom_site_fract_y
_atom_site_fract_z
Ba1 Ba 0.0000 0.0000 0.1454
Li1 Li 0.0000 0.0000 0.4070
Li2 Li 0.0000 0.5000 0.0000
Hg1 Hg 0.0000 0.2910 0.5000
Hg2 Hg 0.0470 0.5235 0.3567
# E in eV for the cell shown: -70.31
# DFT formation energy in meV/atom: -337

***

12.
# Sr3Pd2 | Alexandria via LeMat-Bulk | GGA-PBE | optimized geometry
data_Sr3Pd2
_chemical_formula_sum 'Sr18 Pd12'
_space_group_name_H-M_alt 'R -3 c'
_space_group_IT_number 167
_space_group_name_Hall '-R 3 2"c'
_cell_length_a 7.6566
_cell_length_b 7.6566
_cell_length_c 20.3568
_cell_angle_alpha 90.00
_cell_angle_beta 90.00
_cell_angle_gamma 120.00
loop_
_atom_site_label
_atom_site_type_symbol
_atom_site_fract_x
_atom_site_fract_y
_atom_site_fract_z
Sr1 Sr 0.0000 0.3514 0.2500
Pd1 Pd 0.0000 0.0000 0.1784
# E above lowest polymorph in meV per atom: 33
# E in eV for the cell shown: -106.91
# DFT formation energy in meV/atom: -477

***

13.
# TlInCo2 | Alexandria via LeMat-Bulk | GGA-PBE | optimized geometry
data_TlInCo2
_chemical_formula_sum 'Tl4 In4 Co8'
_space_group_name_H-M_alt 'F -4 3 m'
_space_group_IT_number 216
_space_group_name_Hall 'F -4 2 3'
_cell_length_a 6.4940
_cell_length_b 6.4940
_cell_length_c 6.4940
_cell_angle_alpha 90.00
_cell_angle_beta 90.00
_cell_angle_gamma 90.00
loop_
_atom_site_label
_atom_site_type_symbol
_atom_site_fract_x
_atom_site_fract_y
_atom_site_fract_z
Tl1 Tl 0.0000 0.0000 0.0000
In1 In 0.2500 0.2500 0.7500
Co1 Co 0.0000 0.0000 0.5000
Co2 Co 0.2500 0.2500 0.2500
# E above lowest polymorph in meV per atom: 361
# E in eV for the cell shown: -66.31
# DFT formation energy in meV/atom: 685

***

14.
# ZnTcF2 | Alexandria via LeMat-Bulk | GGA-PBE | optimized geometry
data_ZnTcF2
_chemical_formula_sum 'Zn4 Tc4 F8'
_space_group_name_H-M_alt 'F m -3 m'
_space_group_IT_number 225
_space_group_name_Hall '-F 4 2 3'
_cell_length_a 6.0373
_cell_length_b 6.0373
_cell_length_c 6.0373
_cell_angle_alpha 90.00
_cell_angle_beta 90.00
_cell_angle_gamma 90.00
loop_
_atom_site_label
_atom_site_type_symbol
_atom_site_fract_x
_atom_site_fract_y
_atom_site_fract_z
Zn1 Zn 0.0000 0.0000 0.0000
Tc1 Tc 0.0000 0.0000 0.5000
F1 F 0.2500 0.2500 0.2500
# E above lowest polymorph in meV per atom: 649
# E in eV for the cell shown: -67.71
# Formation energy without anion corrections in eV/atom: -0.39

***

15.
# CsCrS2 | Alexandria via LeMat-Bulk | GGA-PBE | optimized geometry
data_CsCrS2
_chemical_formula_sum 'Cs3 Cr3 S6'
_space_group_name_H-M_alt 'R -3 m'
_space_group_IT_number 166
_space_group_name_Hall '-R 3 2"'
_cell_length_a 3.7009
_cell_length_b 3.7009
_cell_length_c 26.1377
_cell_angle_alpha 90.00
_cell_angle_beta 90.00
_cell_angle_gamma 120.00
loop_
_atom_site_label
_atom_site_type_symbol
_atom_site_fract_x
_atom_site_fract_y
_atom_site_fract_z
Cs1 Cs 0.0000 0.0000 0.0000
Cr1 Cr 0.0000 0.0000 0.5000
S1 S 0.0000 0.0000 0.1205
# E above lowest polymorph in meV per atom: 370
# E in eV for the cell shown: -62.87
# Formation energy without anion corrections in eV/atom: -0.56

***

16.
# DyBePt2 | Alexandria via LeMat-Bulk | GGA-PBE | optimized geometry
data_DyBePt2
_chemical_formula_sum 'Dy2 Be2 Pt4'
_space_group_name_H-M_alt 'P 4/n m m'
_space_group_IT_number 129
_cell_length_a 3.9253
_cell_length_b 3.9253
_cell_length_c 9.0202
_cell_angle_alpha 90.00
_cell_angle_beta 90.00
_cell_angle_gamma 90.00
loop_
_space_group_symop_operation_xyz
'x,y,z'
'-x,-y,-z'
'-y+1/2,x,z'
'y+1/2,-x,-z'
'-x+1/2,-y+1/2,z'
'x+1/2,y+1/2,-z'
'y,-x+1/2,z'
'-y,x+1/2,-z'
'x+1/2,-y,-z'
'-x+1/2,y,z'
'-y,-x,-z'
'y,x,z'
'-x,y+1/2,-z'
'x,-y+1/2,z'
'y+1/2,x+1/2,-z'
'-y+1/2,-x+1/2,z'
loop_
_atom_site_label
_atom_site_type_symbol
_atom_site_fract_x
_atom_site_fract_y
_atom_site_fract_z
Dy1 Dy 0.2500 0.2500 0.2175
Be1 Be 0.2500 0.2500 0.6365
Pt1 Pt 0.2500 0.2500 0.8892
Pt2 Pt 0.2500 0.7500 0.5000
# E above lowest polymorph in meV per atom: 0
# E in eV for the cell shown: -48.67
# DFT formation energy in meV/atom: -981

***

17.
# ReBiSbI2 | Alexandria via LeMat-Bulk | GGA-PBE | optimized geometry
data_ReBiSbI2
_chemical_formula_sum 'Re1 Bi1 Sb1 I2'
_space_group_name_H-M_alt 'P 4/m m m'
_space_group_IT_number 123
_space_group_name_Hall '-P 4 2'
_cell_length_a 5.4213
_cell_length_b 5.4213
_cell_length_c 5.2326
_cell_angle_alpha 90.00
_cell_angle_beta 90.00
_cell_angle_gamma 90.00
loop_
_atom_site_label
_atom_site_type_symbol
_atom_site_fract_x
_atom_site_fract_y
_atom_site_fract_z
Re1 Re 0.0000 0.0000 0.0000
Bi1 Bi 0.5000 0.5000 0.5000
Sb1 Sb 0.0000 0.0000 0.5000
I1 I 0.0000 0.5000 0.0000
# E above lowest polymorph in meV per atom: 0
# E in eV for the cell shown: -19.48
# Formation energy without anion corrections in eV/atom: 0.81

***

18.
# AcCuSiNi | Alexandria via LeMat-Bulk | GGA-PBE | optimized geometry
data_AcCuSiNi
_chemical_formula_sum 'Ac3 Cu3 Si3 Ni3'
_space_group_name_H-M_alt 'R 3 m'
_space_group_IT_number 160
_space_group_name_Hall 'R 3 -2"'
_cell_length_a 4.1109
_cell_length_b 4.1109
_cell_length_c 15.8736
_cell_angle_alpha 90.00
_cell_angle_beta 90.00
_cell_angle_gamma 120.00
loop_
_atom_site_label
_atom_site_type_symbol
_atom_site_fract_x
_atom_site_fract_y
_atom_site_fract_z
Ac1 Ac 0.0000 0.0000 0.0000
Cu1 Cu 0.0000 0.0000 0.1948
Si1 Si 0.0000 0.0000 0.4918
Ni1 Ni 0.0000 0.0000 0.8058
# E in eV for the cell shown: -63.92
# Formation energy without anion corrections in eV/atom: -0.47

***

19.
# LiSiAs2 | Alexandria via LeMat-Bulk | GGA-PBE | optimized geometry
data_LiSiAs2
_chemical_formula_sum 'Li1 Si1 As2'
_space_group_name_H-M_alt 'P 4/m m m'
_space_group_IT_number 123
_space_group_name_Hall '-P 4 2'
_cell_length_a 4.2533
_cell_length_b 4.2533
_cell_length_c 3.7671
_cell_angle_alpha 90.00
_cell_angle_beta 90.00
_cell_angle_gamma 90.00
loop_
_atom_site_label
_atom_site_type_symbol
_atom_site_fract_x
_atom_site_fract_y
_atom_site_fract_z
Li1 Li 0.0000 0.0000 0.0000
Si1 Si 0.5000 0.5000 0.0000
As1 As 0.0000 0.5000 0.5000
# E in eV for the cell shown: -16.43
# Formation energy without anion corrections in eV/atom: 0.05

***

20.
# VTcAsH2 | Alexandria via LeMat-Bulk | GGA-PBE | optimized geometry
data_VTcAsH2
_chemical_formula_sum 'V1 Tc1 As1 H2'
_space_group_name_H-M_alt 'P 4/m m m'
_space_group_IT_number 123
_space_group_name_Hall '-P 4 2'
_cell_length_a 3.5173
_cell_length_b 3.5173
_cell_length_c 4.9779
_cell_angle_alpha 90.00
_cell_angle_beta 90.00
_cell_angle_gamma 90.00
loop_
_atom_site_label
_atom_site_type_symbol
_atom_site_fract_x
_atom_site_fract_y
_atom_site_fract_z
V1 V 0.0000 0.0000 0.0000
Tc1 Tc 0.0000 0.0000 0.5000
As1 As 0.5000 0.5000 0.5000
H1 H 0.0000 0.5000 0.0000
# E in eV for the cell shown: -28.36